1.
# GGA-PBEsol BeHg2IrPt, relaxed
# Formation enthalpy at 0 K   950 meV/atom
# Calculated total energy   -17.17 eV per formula unit
# Total magnetic moment   0.0000 μB/atom
data_BeHg2IrPt
_chemical_formula_sum 'Be1 Hg2 Ir1 Pt1'
_cell_length_a 5.064
_cell_length_b 5.064
_cell_length_c 4.014
_cell_angle_alpha 90.00
_cell_angle_beta 90.00
_cell_angle_gamma 90.00
_space_group_name_H-M_alt 'P 4/m m m'
_space_group_IT_number 123
_space_group_name_Hall '-P 4 2'
loop_
_atom_site_label
_atom_site_fract_x
_atom_site_fract_y
_atom_site_fract_z
Be1 0.000 0.000 0.000
Hg1 0.000 0.500 0.500
Ir1 0.000 0.000 0.500
Pt1 0.500 0.500 0.000

***

2.
# GGA-PBEsol RuAuCl2, relaxed
# Energy relative to the elements, uncorrected   0.617 eV per atom
# Energy relative to the lowest polymorph listed for this composition   213 kJ/mol of formula units
# Calculated total energy   -15.64 eV per formula unit
# Total magnetic moment   0.4331 μB/atom
data_RuAuCl2
_chemical_formula_sum 'Ru1 Au1 Cl2'
_cell_length_a 2.967
_cell_length_b 4.101
_cell_length_c 5.611
_cell_angle_alpha 90.00
_cell_angle_beta 90.00
_cell_angle_gamma 90.00
_space_group_name_H-M_alt 'P m m m'
_space_group_IT_number 47
loop_
_space_group_symop_operation_xyz
'x,y,z'
'-x,-y,-z'
'-x,-y,z'
'x,y,-z'
'x,-y,-z'
'-x,y,z'
'-x,y,-z'
'x,-y,z'
loop_
_atom_site_label
_atom_site_fract_x
_atom_site_fract_y
_atom_site_fract_z
Ru1 0.000 0.000 0.000
Au1 0.500 0.000 0.500
Cl1 0.000 0.500 0.500
Cl2 0.500 0.500 0.000

***

3.
# GGA-PBEsol Hf2MoH2, relaxed
# Calculated total energy   -41.04 eV per formula unit
# Total magnetic moment   0.0000 μB/atom
data_Hf2MoH2
_chemical_formula_sum 'Hf4 Mo2 H4'
_cell_length_a 3.281
_cell_length_b 3.281
_cell_length_c 11.488
_cell_angle_alpha 90.00
_cell_angle_beta 90.00
_cell_angle_gamma 90.00
_space_group_name_H-M_alt 'I 4/m m m'
_space_group_IT_number 139
_space_group_name_Hall '-I 4 2'
loop_
_atom_site_label
_atom_site_fract_x
_atom_site_fract_y
_atom_site_fract_z
Hf1 0.000 0.000 0.140
Mo1 0.000 0.000 0.500
H1 0.000 0.500 0.250

***

4.
# GGA-PBEsol SrBeCd, relaxed
# Formation enthalpy at 0 K   837 meV/atom
# Calculated total energy   -4.53 eV per formula unit
# Total magnetic moment   0.0006 μB/atom
data_SrBeCd
_chemical_formula_sum 'Sr4 Be4 Cd4'
_cell_length_a 7.169
_cell_length_b 7.169
_cell_length_c 7.169
_cell_angle_alpha 90.00
_cell_angle_beta 90.00
_cell_angle_gamma 90.00
_space_group_name_H-M_alt 'F -4 3 m'
_space_group_IT_number 216
_space_group_name_Hall 'F -4 2 3'
loop_
_atom_site_label
_atom_site_fract_x
_atom_site_fract_y
_atom_site_fract_z
Sr1 0.000 0.000 0.000
Be1 0.250 0.250 0.250
Cd1 0.250 0.250 0.750

***

5.
# GGA-PBEsol SrCr2AgOs, relaxed
# Formation enthalpy at 0 K   1624 meV/atom
# Calculated total energy   -29.73 eV per formula unit
# Total magnetic moment   1.6296 μB/atom
data_SrCr2AgOs
_chemical_formula_sum 'Sr1 Cr2 Ag1 Os1'
_cell_length_a 4.902
_cell_length_b 4.902
_cell_length_c 4.968
_cell_angle_alpha 90.00
_cell_angle_beta 90.00
_cell_angle_gamma 90.00
_space_group_name_H-M_alt 'P 4/m m m'
_space_group_IT_number 123
_space_group_name_Hall '-P 4 2'
loop_
_atom_site_label
_atom_site_fract_x
_atom_site_fract_y
_atom_site_fract_z
Sr1 0.000 0.000 0.000
Cr1 0.000 0.500 0.500
Ag1 0.500 0.500 0.500
Os1 0.500 0.500 0.000

***

6.
# GGA-PBEsol NaSn2Pb2, relaxed
# Formation enthalpy at 0 K   -36 meV/atom
# Calculated total energy   -18.10 eV per formula unit
# Total magnetic moment   0.0000 μB/atom
data_NaSn2Pb2
_chemical_formula_sum 'Na2 Sn4 Pb4'
_cell_length_a 8.375
_cell_length_b 8.375
_cell_length_c 4.184
_cell_angle_alpha 90.00
_cell_angle_beta 90.00
_cell_angle_gamma 90.00
_space_group_name_H-M_alt 'P 4/m b m'
_space_group_IT_number 127
_space_group_name_Hall '-P 4 2ab'
loop_
_atom_site_label
_atom_site_fract_x
_atom_site_fract_y
_atom_site_fract_z
Na1 0.000 0.000 0.000
Sn1 0.130 0.370 0.000
Pb1 0.158 0.658 0.500

***

7.
# GGA-PBEsol Rb3Na, relaxed
# Formation enthalpy at 0 K   26 meV/atom
# Calculated total energy   -4.37 eV per formula unit
# Total magnetic moment   0.0001 μB/atom
data_Rb3Na
_chemical_formula_sum 'Rb12 Na4'
_cell_length_a 10.408
_cell_length_b 10.408
_cell_length_c 10.408
_cell_angle_alpha 90.00
_cell_angle_beta 90.00
_cell_angle_gamma 90.00
_space_group_name_H-M_alt 'F m -3 m'
_space_group_IT_number 225
_space_group_name_Hall '-F 4 2 3'
loop_
_atom_site_label
_atom_site_fract_x
_atom_site_fract_y
_atom_site_fract_z
Rb1 0.000 0.000 0.000
Rb2 0.250 0.250 0.250
Na1 0.000 0.000 0.500

***

8.
# GGA-PBEsol Tm2In8Co, relaxed
# Formation enthalpy at 0 K   -334 meV/atom
# Calculated total energy   -45.08 eV per formula unit
# Total magnetic moment   0.0000 μB/atom
data_Tm2In8Co
_chemical_formula_sum 'Tm2 In8 Co1'
_cell_length_a 4.491
_cell_length_b 4.491
_cell_length_c 11.883
_cell_angle_alpha 90.00
_cell_angle_beta 90.00
_cell_angle_gamma 90.00
_space_group_name_H-M_alt 'P 4/m m m'
_space_group_IT_number 123
_space_group_name_Hall '-P 4 2'
loop_
_atom_site_label
_atom_site_fract_x
_atom_site_fract_y
_atom_site_fract_z
Tm1 0.000 0.000 0.193
In1 0.000 0.500 0.000
In2 0.000 0.500 0.380
In3 0.500 0.500 0.192
Co1 0.000 0.000 0.500

***

9.
# GGA-PBEsol Sc3Se, relaxed
# Energy relative to the elements, uncorrected   -0.736 eV per atom
# Energy relative to the lowest polymorph listed for this composition   43 kJ/mol of formula units
# Calculated total energy   -26.61 eV per formula unit
# Total magnetic moment   0.0345 μB/atom
data_Sc3Se
_chemical_formula_sum 'Sc3 Se1'
_cell_length_a 3.4677
_cell_length_b 3.4677
_cell_length_c 8.6088
_cell_angle_alpha 90.00
_cell_angle_beta 90.00
_cell_angle_gamma 120.00
_space_group_name_H-M_alt 'P -6 m 2'
_space_group_IT_number 187
_space_group_name_Hall 'P -6 2'
loop_
_atom_site_label
_atom_site_fract_x
_atom_site_fract_y
_atom_site_fract_z
Sc1 0.0000 0.0000 0.0000
Sc2 0.6667 0.3333 0.2910
Se1 0.0000 0.0000 0.5000

***

10.
# GGA-PBEsol BeTcTe2, relaxed
# Energy relative to the elements, uncorrected   0.354 eV per atom
# Calculated total energy   -20.90 eV per formula unit
# Total magnetic moment   0.0001 μB/atom
data_BeTcTe2
_chemical_formula_sum 'Be4 Tc4 Te8'
_cell_length_a 5.866
_cell_length_b 5.866
_cell_length_c 10.948
_cell_angle_alpha 90.00
_cell_angle_beta 90.00
_cell_angle_gamma 90.00
_space_group_name_H-M_alt 'I -4 2 d'
_space_group_IT_number 122
_space_group_name_Hall 'I -4 2bw'
loop_
_atom_site_label
_atom_site_fract_x
_atom_site_fract_y
_atom_site_fract_z
Be1 0.000 0.000 0.000
Tc1 0.000 0.000 0.500
Te1 0.228 0.250 0.125

***

11.
# GGA-PBEsol RbIrPb2, relaxed
# Formation enthalpy at 0 K   484 meV/atom
# Calculated total energy   -16.91 eV per formula unit
# Total magnetic moment   0.0000 μB/atom
data_RbIrPb2
_chemical_formula_sum 'Rb4 Ir4 Pb8'
_cell_length_a 7.215
_cell_length_b 7.215
_cell_length_c 7.215
_cell_angle_alpha 90.00
_cell_angle_beta 90.00
_cell_angle_gamma 90.00
_space_group_name_H-M_alt 'F m -3 m'
_space_group_IT_number 225
_space_group_name_Hall '-F 4 2 3'
loop_
_atom_site_label
_atom_site_fract_x
_atom_site_fract_y
_atom_site_fract_z
Rb1 0.000 0.000 0.000
Ir1 0.000 0.000 0.500
Pb1 0.250 0.250 0.250

***

12.
# GGA-PBEsol Li2AgSb, relaxed
# Energy relative to the elements, uncorrected   -0.354 eV per atom
# Calculated total energy   -13.22 eV per formula unit
# Total magnetic moment   0.0000 μB/atom
data_Li2AgSb
_chemical_formula_sum 'Li2 Ag1 Sb1'
_cell_length_a 4.440
_cell_length_b 4.440
_cell_length_c 3.443
_cell_angle_alpha 90.00
_cell_angle_beta 90.00
_cell_angle_gamma 90.00
_space_group_name_H-M_alt 'P 4/m m m'
_space_group_IT_number 123
_space_group_name_Hall '-P 4 2'
loop_
_atom_site_label
_atom_site_fract_x
_atom_site_fract_y
_atom_site_fract_z
Li1 0.000 0.500 0.000
Ag1 0.000 0.000 0.500
Sb1 0.500 0.500 0.500

***

13.
# GGA-PBEsol La2HgRh, relaxed
# Formation enthalpy at 0 K   -573 meV/atom
# Calculated total energy   -21.69 eV per formula unit
# Total magnetic moment   0.0001 μB/atom
data_La2HgRh
_chemical_formula_sum 'La6 Hg3 Rh3'
_cell_length_a 4.0554
_cell_length_b 4.0554
_cell_length_c 23.6769
_cell_angle_alpha 90.00
_cell_angle_beta 90.00
_cell_angle_gamma 120.00
_space_group_name_H-M_alt 'R -3 m'
_space_group_IT_number 166
_space_group_name_Hall '-R 3 2"'
loop_
_atom_site_label
_atom_site_fract_x
_atom_site_fract_y
_atom_site_fract_z
La1 0.0000 0.0000 0.2346
Hg1 0.0000 0.0000 0.0000
Rh1 0.0000 0.0000 0.5000

***

14.
# GGA-PBEsol Ge5P6O25, relaxed
# Energy relative to the elements, uncorrected   -1.977 eV per atom
# Calculated total energy   -261.83 eV per formula unit
# Total magnetic moment   0.0000 μB/atom
data_Ge5P6O25
_chemical_formula_sum 'Ge15 P18 O75'
_cell_length_a 8.0294
_cell_length_b 8.0294
_cell_length_c 25.0704
_cell_angle_alpha 90.00
_cell_angle_beta 90.00
_cell_angle_gamma 120.00
_space_group_name_H-M_alt 'R -3'
_space_group_IT_number 148
_space_group_name_Hall '-R 3'
loop_
_atom_site_label
_atom_site_fract_x
_atom_site_fract_y
_atom_site_fract_z
Ge1 0.0000 0.0000 0.0000
Ge2 0.0000 0.0000 0.1767
Ge3 0.0000 0.0000 0.4321
P1 0.0225 0.7336 0.9087
O1 0.0000 0.0000 0.5000
O2 0.0316 0.2167 0.4063
O3 0.0778 0.8574 0.9587
O4 0.0881 0.2131 0.7798
O5 0.0909 0.2224 0.1333

***

15.
# GGA-PBEsol NbAuI2N, relaxed
# Energy relative to the elements, uncorrected   1.236 eV per atom
# Energy relative to the lowest polymorph listed for this composition   448 kJ/mol of formula units
# Calculated total energy   -20.62 eV per formula unit
# Total magnetic moment   0.6570 μB/atom
data_NbAuI2N
_chemical_formula_sum 'Nb1 Au1 I2 N1'
_cell_length_a 5.797
_cell_length_b 5.797
_cell_length_c 3.703
_cell_angle_alpha 90.00
_cell_angle_beta 90.00
_cell_angle_gamma 90.00
_space_group_name_H-M_alt 'P 4/m m m'
_space_group_IT_number 123
_space_group_name_Hall '-P 4 2'
loop_
_atom_site_label
_atom_site_fract_x
_atom_site_fract_y
_atom_site_fract_z
Nb1 0.000 0.000 0.000
Au1 0.500 0.500 0.500
I1 0.000 0.500 0.500
N1 0.500 0.500 0.000

***

16.
# GGA-PBEsol RbGa3Re, relaxed
# Formation enthalpy at 0 K   2497 meV/atom
# Energy relative to the lowest polymorph listed for this composition   1217 kJ/mol of formula units
# Calculated total energy   -11.89 eV per formula unit
# Total magnetic moment   0.6550 μB/atom
data_RbGa3Re
_chemical_formula_sum 'Rb1 Ga3 Re1'
_cell_length_a 5.339
_cell_length_b 5.339
_cell_length_c 5.339
_cell_angle_alpha 90.00
_cell_angle_beta 90.00
_cell_angle_gamma 90.00
_space_group_name_H-M_alt 'P m -3 m'
_space_group_IT_number 221
_space_group_name_Hall '-P 4 2 3'
loop_
_atom_site_label
_atom_site_fract_x
_atom_site_fract_y
_atom_site_fract_z
Rb1 0.000 0.000 0.000
Ga1 0.000 0.000 0.500
Re1 0.500 0.500 0.500

***

17.
# GGA-PBEsol MgFePt2, relaxed
# Formation enthalpy at 0 K   -408 meV/atom
# Calculated total energy   -26.24 eV per formula unit
# Total magnetic moment   0.8287 μB/atom
data_MgFePt2
_chemical_formula_sum 'Mg1 Fe1 Pt2'
_cell_length_a 2.802
_cell_length_b 4.476
_cell_length_c 4.579
_cell_angle_alpha 90.00
_cell_angle_beta 90.00
_cell_angle_gamma 90.00
_space_group_name_H-M_alt 'P m m 2'
_space_group_IT_number 25
loop_
_space_group_symop_operation_xyz
'x,y,z'
'-x,-y,z'
'-x,y,z'
'x,-y,z'
loop_
_atom_site_label
_atom_site_fract_x
_atom_site_fract_y
_atom_site_fract_z
Mg1 0.000 0.000 0.000
Fe1 0.000 0.500 0.400
Pt1 0.500 0.000 0.498
Pt2 0.500 0.500 0.901

***

18.
# GGA-PBEsol CdSi2Br, relaxed
# Energy relative to the elements, uncorrected   0.510 eV per atom
# Calculated total energy   -12.52 eV per formula unit
# Total magnetic moment   0.0000 μB/atom
data_CdSi2Br
_chemical_formula_sum 'Cd1 Si2 Br1'
_cell_length_a 3.153
_cell_length_b 3.153
_cell_length_c 7.915
_cell_angle_alpha 90.00
_cell_angle_beta 90.00
_cell_angle_gamma 90.00
_space_group_name_H-M_alt 'P 4/m m m'
_space_group_IT_number 123
_space_group_name_Hall '-P 4 2'
loop_
_atom_site_label
_atom_site_fract_x
_atom_site_fract_y
_atom_site_fract_z
Cd1 0.000 0.000 0.000
Si1 0.500 0.500 0.243
Br1 0.000 0.000 0.500

***

19.
# GGA-PBEsol Zr6Al7Cu16H3, relaxed
# Calculated total energy   -174.61 eV per formula unit
# Total magnetic moment   0.0000 μB/atom
data_Zr6Al7Cu16H3
_chemical_formula_sum 'Zr12 Al14 Cu32 H6'
_cell_length_a 8.341
_cell_length_b 8.360
_cell_length_c 11.906
_cell_angle_alpha 90.00
_cell_angle_beta 90.00
_cell_angle_gamma 90.00
_space_group_name_H-M_alt 'I m m 2'
_space_group_IT_number 44
loop_
_space_group_symop_operation_xyz
'x,y,z'
'-x,-y,z'
'-x,y,z'
'x,-y,z'
'x+1/2,y+1/2,z+1/2'
'-x+1/2,-y+1/2,z+1/2'
'-x+1/2,y+1/2,z+1/2'
'x+1/2,-y+1/2,z+1/2'
loop_
_atom_site_label
_atom_site_fract_x
_atom_site_fract_y
_atom_site_fract_z
Zr1 0.000 0.000 0.000
Zr2 0.000 0.000 0.428
Zr3 0.201 0.202 0.216
Al1 0.000 0.000 0.715
Al2 0.000 0.500 0.215
Al3 0.000 0.500 0.714
Al4 0.248 0.249 0.464
Cu1 0.000 0.240 0.597
Cu2 0.000 0.241 0.834
Cu3 0.000 0.345 0.387
Cu4 0.000 0.351 0.038
Cu5 0.158 0.500 0.885
Cu6 0.159 0.500 0.544
Cu7 0.241 0.000 0.597
Cu8 0.241 0.000 0.833
H1 0.000 0.000 0.255
H2 0.000 0.171 0.123

***

20.
# GGA-PBEsol LaYSc, relaxed
# Formation enthalpy at 0 K   53 meV/atom
# Energy relative to the lowest polymorph listed for this composition   0 kJ/mol of formula units
# Calculated total energy   -18.61 eV per formula unit
# Total magnetic moment   0.0002 μB/atom
data_LaYSc
_chemical_formula_sum 'La2 Y2 Sc2'
_cell_length_a 3.501
_cell_length_b 4.794
_cell_length_c 10.411
_cell_angle_alpha 90.00
_cell_angle_beta 90.00
_cell_angle_gamma 90.00
_space_group_name_H-M_alt 'I m m 2'
_space_group_IT_number 44
loop_
_space_group_symop_operation_xyz
'x,y,z'
'-x,-y,z'
'-x,y,z'
'x,-y,z'
'x+1/2,y+1/2,z+1/2'
'-x+1/2,-y+1/2,z+1/2'
'-x+1/2,y+1/2,z+1/2'
'x+1/2,-y+1/2,z+1/2'
loop_
_atom_site_label
_atom_site_fract_x
_atom_site_fract_y
_atom_site_fract_z
La1 0.000 0.000 0.000
Y1 0.000 0.000 0.323
Sc1 0.000 0.000 0.665